La2YCo2 after structural relaxation. Source: Alexandria, functional PBE.

* uncorrected energy: -30.742 eV/f.u.
* N(E_F): 10.41 states/eV per cell
* calculated density: 6.721 g/cm3
* polymorph energy (0 for the lowest one): 64 meV per atom

Cell lengths 7.4402, 7.4402, 4.3258 Å; angles 90.00, 90.00, 90.00 degrees
Last column: nearest neighbours and their distance in Å.
Space group P4/mbm (No. 127)
One atom of each set of equivalent atoms:
La1 0.1750 0.3250 0.0000 (multiplicity 4)  6 Co 3.06-3.14
Y1 0.0000 0.0000 0.5000 (multiplicity 2)  4 Co 3.02
Co1 0.1084 0.6084 0.5000 (multiplicity 4)  1 Co 2.28